Material: TlTe2H8
Method: DFT, PBE
State: optimized geometry

**DOS(E_F)**: 1.90 states/eV/f.u.
**VASP energy**: -35.580 eV per cell

Cell lengths 7.8723, 8.6736, 7.1608 Å; angles 143.56, 74.25, 126.49 degrees
Element x y z (fractional)
H: 0.9483 0.4314 0.9785
H: 0.6342 0.8710 0.3115
H: 0.3974 0.1347 0.7854
H: 0.0517 0.5686 0.0215
H: 0.3658 0.1290 0.6885
H: 0.0508 0.0187 0.4774
H: 0.6026 0.8653 0.2146
H: 0.9492 0.9813 0.5226
Te: 0.5341 0.7895 0.6945
Te: 0.4659 0.2105 0.3055
Tl: 0.0000 0.0000 0.0000


Material: Tl2TeH4
Method: DFT, PBE
State: optimized geometry

**VASP energy**: -38.442 eV per cell

Cell lengths 8.8516, 6.7142, 5.8729 Å; angles 124.86, 82.96, 90.00 degrees
Element x y z (fractional)
Tl: 0.0185 0.3230 0.6252
Tl: 0.4815 0.6978 0.3748
Tl: 0.5185 0.3022 0.6252
Tl: 0.9815 0.6770 0.3748
Te: 0.2500 0.9935 0.0000
Te: 0.7500 0.0065 0.0000
H: 0.8851 0.3815 0.3811
H: 0.6626 0.7394 0.8354
H: 0.1626 0.0961 0.8354
H: 0.3374 0.2606 0.1646
H: 0.6149 0.0004 0.6189
H: 0.8374 0.9039 0.1646
H: 0.1149 0.6185 0.6189
H: 0.3851 0.9996 0.3811


Material: TlTe3H
Method: DFT, PBE
State: optimized geometry

**DOS(E_F)**: 3.01 states/eV/f.u.
**Energy above the lowest structure with this stoichiometry**: 0.0 meV per atom

Cell lengths 4.9786, 4.9786, 4.9786 Å; angles 90.00, 90.00, 90.00 degrees
Element x y z (fractional)
Te: 0.0000 0.0000 0.5000
Te: 0.5000 0.0000 0.0000
Te: 0.0000 0.5000 0.0000
H: 0.0000 0.0000 0.0000
Tl: 0.5000 0.5000 0.5000


Material: Tl2TeH3
Method: DFT, PBE
State: optimized geometry

**DOS(E_F)**: 0.36 states/eV/f.u.
**VASP energy**: -69.592 eV per cell

Cell lengths 8.6403, 8.4503, 10.7659 Å; angles 78.16, 66.34, 59.25 degrees
Element x y z (fractional)
Te: 0.9182 0.1636 0.5000
Te: 0.1682 0.6636 0.0000
Te: 0.5818 0.8364 0.5000
Te: 0.8318 0.3364 0.0000
H: 0.5687 0.8626 0.0000
H: 0.3187 0.3626 0.5000
H: 0.1157 0.5685 0.5002
H: 0.3159 0.5685 0.4998
H: 0.3658 0.0685 0.9998
H: 0.6343 0.9315 0.9998
H: 0.5657 0.0685 0.0002
H: 0.4341 0.9315 0.0002
H: 0.1813 0.6374 0.5000
H: 0.1843 0.4315 0.4998
H: 0.3842 0.4315 0.5002
H: 0.4313 0.1374 0.0000
Tl: 0.6239 0.5000 0.7522
Tl: 0.1261 0.0000 0.7478
Tl: 0.8739 0.0000 0.2522
Tl: 0.8761 0.5000 0.2478
Tl: 0.0956 0.5000 0.8088
Tl: 0.6544 0.0000 0.6912
Tl: 0.4044 0.5000 0.1912
Tl: 0.3456 0.0000 0.3088


Material: TlTeH2
Method: DFT, PBE
State: optimized geometry

**DOS(E_F)**: 1.52 states/eV/f.u.
**Energy above the lowest structure with this stoichiometry**: 506.3 meV per atom

Cell lengths 4.8692, 4.8692, 7.5244 Å; angles 71.12, 71.12, 90.00 degrees
Element x y z (fractional)
H: 0.8750 0.6955 0.7500
H: 0.3045 0.6250 0.2500
H: 0.4455 0.1250 0.2500
H: 0.3750 0.5545 0.7500
Tl: 0.7500 0.2500 0.5000
Tl: 0.0000 0.0000 0.0000
Te: 0.5000 0.5000 0.0000
Te: 0.2500 0.7500 0.5000


Material: Tl2Te3H4
Method: DFT, PBE
State: optimized geometry

**DOS(E_F)**: 1.95 states/eV/f.u.
**VASP energy**: -50.605 eV per cell

Cell lengths 10.3433, 10.3433, 6.9756 Å; angles 90.00, 90.00, 142.90 degrees
Element x y z (fractional)
Tl: 0.4024 0.7193 0.0000
Tl: 0.5976 0.2807 0.0000
Tl: 0.2807 0.5976 0.5000
Tl: 0.7193 0.4024 0.5000
H: 0.6637 0.6647 0.5000
H: 0.7530 0.1568 0.5000
H: 0.3353 0.3363 0.0000
H: 0.3363 0.3353 0.5000
H: 0.2470 0.8432 0.5000
H: 0.6647 0.6637 0.0000
H: 0.1568 0.7530 0.0000
H: 0.8432 0.2470 0.0000
Te: 0.8365 0.1635 0.2500
Te: 0.1635 0.8365 0.7500
Te: 0.1635 0.8365 0.2500
Te: 0.5000 0.5000 0.7500
Te: 0.5000 0.5000 0.2500
Te: 0.8365 0.1635 0.7500


Material: Tl6Te3H2
Method: DFT, PBE
State: optimized geometry

**DOS(E_F)**: 3.87 states/eV/f.u.
**VASP energy**: -30.695 eV per cell

Cell lengths 4.9178, 4.9178, 13.7723 Å; angles 100.28, 100.28, 90.00 degrees
Element x y z (fractional)
H: 0.6031 0.6031 0.2062
H: 0.3969 0.3969 0.7938
Tl: 0.0861 0.5861 0.1722
Tl: 0.5861 0.0861 0.1722
Tl: 0.4139 0.9139 0.8278
Tl: 0.9139 0.4139 0.8278
Tl: 0.6979 0.6979 0.3957
Tl: 0.3021 0.3021 0.6043
Te: 0.8226 0.8226 0.6451
Te: 0.0000 0.0000 0.0000
Te: 0.1774 0.1774 0.3549


Material: TlTe3H
Method: DFT, PBE
State: optimized geometry

**DOS(E_F)**: 7.97 states/eV/f.u.
**Energy above the lowest structure with this stoichiometry**: 628.6 meV per atom

Cell lengths 5.8654, 5.8654, 5.8654 Å; angles 90.00, 90.00, 90.00 degrees
Each line ends with the local moment (μB).
Element x y z (fractional)
Te: 0.0000 0.5000 0.0000  -0.11
Te: 0.5000 0.0000 0.0000  -0.08
Te: 0.0000 0.0000 0.5000  -0.13
H: 0.5000 0.5000 0.5000  0.37
Tl: 0.0000 0.0000 0.0000  0.00


What is the formula in the fourth record? Tl2TeH3